No. 1
A relaxed structure of NaHg3GeS4, computed with PBE.

- crystal system = monoclinic
- offset from the most stable computed form (eV per atom) = 0.000

```
NaHg3GeS4
1.0
6.983 0.000 0.000
0.000 7.007 0.000
-2.394 0.000 10.413
Na Hg Ge S
2 6 2 8
direct
0.044 0.250 0.159
0.956 0.750 0.841
0.263 0.552 0.522
0.263 0.948 0.522
0.475 0.750 0.174
0.525 0.250 0.826
0.737 0.052 0.478
0.737 0.448 0.478
0.018 0.250 0.715
0.982 0.750 0.285
0.122 0.750 0.105
0.246 0.000 0.769
0.246 0.500 0.769
0.302 0.250 0.403
0.698 0.750 0.597
0.754 0.000 0.231
0.754 0.500 0.231
0.878 0.250 0.895
```


No. 2
A relaxed structure of NaHg3GeS4, computed with PBE.

- crystal system = cubic
- offset from the most stable computed form (eV per atom) = 0.089

```
NaHg3GeS4
1.0
6.371 0.000 0.000
0.000 6.371 0.000
0.000 0.000 6.371
Na Hg Ge S
1 3 1 4
direct
0.000 0.000 0.000
0.000 0.500 0.500
0.500 0.000 0.500
0.500 0.500 0.000
0.500 0.500 0.500
0.263 0.263 0.263
0.263 0.737 0.737
0.737 0.263 0.737
0.737 0.737 0.263
```


No. 3
A relaxed structure of NaHg3GeSe4, computed with PBE.

- crystal system = cubic
- offset from the most stable computed form (eV per atom) = 0.035

```
NaHg3GeSe4
1.0
6.619 0.000 0.000
0.000 6.619 0.000
0.000 0.000 6.619
Na Hg Ge Se
1 3 1 4
direct
0.000 0.000 0.000
0.000 0.500 0.500
0.500 0.000 0.500
0.500 0.500 0.000
0.500 0.500 0.500
0.261 0.261 0.261
0.261 0.739 0.739
0.739 0.261 0.739
0.739 0.739 0.261
```


No. 4
A relaxed structure of NaHg3GeSe4, computed with PBE.

- crystal system = monoclinic
- offset from the most stable computed form (eV per atom) = 0.000

```
NaHg3GeSe4
1.0
7.266 0.000 0.000
0.000 7.217 0.000
-2.286 0.000 10.841
Na Hg Ge Se
2 6 2 8
direct
0.064 0.250 0.147
0.936 0.750 0.853
0.268 0.553 0.518
0.268 0.947 0.518
0.500 0.250 0.817
0.500 0.750 0.183
0.732 0.053 0.482
0.732 0.447 0.482
0.000 0.250 0.703
0.000 0.750 0.297
0.143 0.750 0.111
0.231 0.512 0.761
0.231 0.988 0.761
0.313 0.250 0.393
0.687 0.750 0.607
0.769 0.012 0.239
0.769 0.488 0.239
0.857 0.250 0.889
```


No. 5
A relaxed structure of NaHg3GeTe4, computed with PBE.

- crystal system = monoclinic
- offset from the most stable computed form (eV per atom) = 0.000

```
NaHg3GeTe4
1.0
7.347 0.000 0.000
0.000 8.745 0.000
-0.948 0.000 9.499
Na Hg Ge Te
2 6 2 8
direct
0.197 0.250 0.361
0.803 0.750 0.639
0.229 0.083 0.050
0.229 0.417 0.050
0.364 0.250 0.678
0.636 0.750 0.322
0.771 0.583 0.950
0.771 0.917 0.950
0.145 0.750 0.287
0.855 0.250 0.713
0.083 0.015 0.726
0.083 0.485 0.726
0.356 0.750 0.073
0.371 0.750 0.520
0.629 0.250 0.480
0.644 0.250 0.927
0.917 0.515 0.274
0.917 0.985 0.274
```


No. 6
A relaxed structure of NaHg3GeTe4, computed with PBE.

- crystal system = cubic
- offset from the most stable computed form (eV per atom) = 0.002

```
NaHg3GeTe4
1.0
7.001 0.000 0.000
0.000 7.001 0.000
0.000 0.000 7.001
Na Hg Ge Te
1 3 1 4
direct
0.000 0.000 0.000
0.000 0.500 0.500
0.500 0.000 0.500
0.500 0.500 0.000
0.500 0.500 0.500
0.263 0.263 0.263
0.263 0.737 0.737
0.737 0.263 0.737
0.737 0.737 0.263
```


No. 7
A relaxed structure of NbHg2Ge, computed with PBE.

- crystal system = cubic
- raw total energy (eV/cell) = -13.188

```
NbHg2Ge
1.0
0.000 3.426 3.426
3.426 0.000 3.426
3.426 3.426 0.000
Nb Hg Ge
1 2 1
direct
0.000 0.000 0.000
0.250 0.250 0.250
0.500 0.500 0.500
0.750 0.750 0.750
```


No. 8
A relaxed structure of Nb2HgGe, computed with PBE.

- crystal system = cubic
- raw total energy (eV/cell) = -23.137

```
Nb2HgGe
1.0
0.000 3.352 3.352
3.352 0.000 3.352
3.352 3.352 0.000
Nb Hg Ge
2 1 1
direct
0.000 0.000 0.000
0.250 0.250 0.250
0.750 0.750 0.750
0.500 0.500 0.500
```


No. 9
A relaxed structure of NbNiHgGe, computed with PBE.

- crystal system = cubic
- offset from the most stable computed form (eV per atom) = 0.000

```
NbNiHgGe
1.0
0.000 3.214 3.214
3.214 0.000 3.214
3.214 3.214 0.000
Nb Ni Hg Ge
1 1 1 1
direct
0.000 0.000 0.000
0.500 0.500 0.500
0.750 0.750 0.750
0.250 0.250 0.250
```


No. 10
A relaxed structure of NbNiHgGe, computed with PBE.

- crystal system = cubic
- offset from the most stable computed form (eV per atom) = 0.224

```
NbNiHgGe
1.0
0.000 3.254 3.254
3.254 0.000 3.254
3.254 3.254 0.000
Nb Ni Hg Ge
1 1 1 1
direct
0.000 0.000 0.000
0.750 0.750 0.750
0.250 0.250 0.250
0.500 0.500 0.500
```


No. 11
A relaxed structure of NdHgGe, computed with PBE.

- crystal system = cubic
- raw total energy (eV/cell) = -10.267

```
NdHgGe
1.0
0.000 3.544 3.544
3.544 0.000 3.544
3.544 3.544 0.000
Nd Hg Ge
1 1 1
direct
0.000 0.000 0.000
0.250 0.250 0.250
0.750 0.750 0.750
```


No. 12
A relaxed structure of NdHgGe, computed with PBE.

- crystal system = cubic
- raw total energy (eV/cell) = -10.807

```
NdHgGe
1.0
0.000 3.432 3.432
3.432 0.000 3.432
3.432 3.432 0.000
Nd Hg Ge
1 1 1
direct
0.000 0.000 0.000
0.500 0.500 0.500
0.750 0.750 0.750
```